Here is a relaxed structure of PuHg2Br8 from Alexandria via LeMat-Bulk. Energies are from PBE.

Its crystal system is monoclinic. For the volume, the calculation gives 448.0 Å³/cell. As for the symmetry: No. 12. As for the density of states at the Fermi level: 5.1 states/eV/cell. Its uncorrected formation energy is -0.78 eV/atom. As for the total magnetic moment: 4.0 μB/f.u.

Unit cell a=6.795 b=8.366 c=8.366 alpha=71.27 beta=94.87 gamma=94.87
Site moments in Bohr magnetons follow the coordinates.
Sites, in units of the cell vectors:
Pu (0.000, 0.000, 0.000)  4.54
Hg (0.722, 0.217, 0.217)  0.00
Hg (0.278, 0.783, 0.783)  0.00
Br (0.224, 0.116, 0.712)  -0.06
Br (0.224, 0.712, 0.116)  -0.06
Br (0.776, 0.884, 0.288)  -0.06
Br (0.302, 0.603, 0.603)  -0.01
Br (0.776, 0.288, 0.884)  -0.06
Br (0.253, 0.169, 0.169)  -0.10
Br (0.747, 0.831, 0.831)  -0.10
Br (0.698, 0.397, 0.397)  -0.01